Pm6Nd3Tm2 | GGA-PBE | optimized geometry

Computed properties:
- Calculated total energy: -4.6879 eV/atom
- Magnetic moment: 0.000 μB/f.u.

Lattice parameters (Å, degrees): 3.6283 3.6283 97.7322 90.00 90.00 120.00
Space group R-3m (No. 166, hexagonal axes)
One atom of each set of equivalent atoms:
Pm 0.0000 0.0000 0.0925 [6 per cell]
Pm 0.0000 0.0000 0.1820 [6 per cell]
Pm 0.0000 0.0000 0.3641 [6 per cell]
Nd 0.0000 0.0000 0.0000 [3 per cell]
Nd 0.0000 0.0000 0.2718 [6 per cell]
Tm 0.0000 0.0000 0.4552 [6 per cell]

HoPaCoIr | GGA-PBE | optimized geometry

Computed properties:
- Calculated total energy: -7.9364 eV/atom
- Magnetic moment: 0.000 μB/f.u.

Lattice parameters (Å, degrees): 6.795 6.795 6.795 90.00 90.00 90.00
Space group F-43m (No. 216)
One atom of each set of equivalent atoms:
Ho 0.000 0.000 0.000 [4 per cell]
Pa 0.000 0.000 0.500 [4 per cell]
Co 0.250 0.250 0.750 [4 per cell]
Ir 0.250 0.250 0.250 [4 per cell]

Copy entry 2 word for word.
HoPaCoIr | GGA-PBE | optimized geometry

Computed properties:
- Calculated total energy: -7.9364 eV/atom
- Magnetic moment: 0.000 μB/f.u.

Lattice parameters (Å, degrees): 6.795 6.795 6.795 90.00 90.00 90.00
Space group F-43m (No. 216)
One atom of each set of equivalent atoms:
Ho 0.000 0.000 0.000 [4 per cell]
Pa 0.000 0.000 0.500 [4 per cell]
Co 0.250 0.250 0.750 [4 per cell]
Ir 0.250 0.250 0.250 [4 per cell]

Please write out number 2 again, unchanged.
HoPaCoIr | GGA-PBE | optimized geometry

Computed properties:
- Calculated total energy: -7.9364 eV/atom
- Magnetic moment: 0.000 μB/f.u.

Lattice parameters (Å, degrees): 6.795 6.795 6.795 90.00 90.00 90.00
Space group F-43m (No. 216)
One atom of each set of equivalent atoms:
Ho 0.000 0.000 0.000 [4 per cell]
Pa 0.000 0.000 0.500 [4 per cell]
Co 0.250 0.250 0.750 [4 per cell]
Ir 0.250 0.250 0.250 [4 per cell]